! SnBiW3 PBE optimized geometry; values from VASP
! * DOS(E_F): 2.01 states/eV per atom
! * energy above the most stable polymorph in this dataset: 0.000 eV per atom
! * space group: Pm-3m
! * formation energy: 247 kJ/mol of atoms
&SYSTEM
  ibrav = 0, nat = 5, ntyp = 3
/
ATOMIC_SPECIES
Sn 118.71 Sn.upf
Bi 208.98 Bi.upf
W 183.84 W.upf
ATOMIC_POSITIONS angstrom
Sn 0.0000 0.0000 0.0000
Bi 2.4854 2.4854 2.4854
W 0.0000 0.0000 2.4854
W 0.0000 2.4854 0.0000
W 2.4854 0.0000 0.0000
CELL_PARAMETERS angstrom
4.9707 0.0000 0.0000
0.0000 4.9707 0.0000
0.0000 0.0000 4.9707